1.
This record from the Alexandria database describes a relaxed Li4La4Hg7 crystal. The functional is PBE-GGA.

Space group = I4/mmm, No. 139
Formation enthalpy at 0 K = -0.384 eV/atom

a = 6.120 Å, b = 11.467 Å, c = 11.467 Å
α = 85.92°, β = 74.52°, γ = 74.52°
Sites, in units of the cell vectors:
1 Li 0.106 0.789 0.500
2 Li 0.394 0.211 0.500
3 Li 0.394 0.500 0.211
4 Li 0.106 0.500 0.789
5 Li 0.894 0.500 0.211
6 Li 0.606 0.500 0.789
7 Li 0.606 0.789 0.500
8 Li 0.894 0.211 0.500
9 La 0.857 0.287 0.000
10 La 0.143 0.713 0.000
11 La 0.143 0.000 0.713
12 La 0.857 0.000 0.287
13 La 0.500 0.808 0.192
14 La 0.500 0.192 0.808
15 La 0.308 0.192 0.192
16 La 0.692 0.808 0.808
17 Hg 0.500 0.596 0.404
18 Hg 0.500 0.404 0.596
19 Hg 0.096 0.404 0.404
20 Hg 0.904 0.596 0.596
21 Hg 0.758 0.000 0.000
22 Hg 0.242 0.000 0.000
23 Hg 0.709 0.581 0.000
24 Hg 0.291 0.419 0.000
25 Hg 0.291 0.000 0.419
26 Hg 0.709 0.000 0.581
27 Hg 0.000 0.299 0.701
28 Hg 0.000 0.701 0.299
29 Hg 0.299 0.701 0.701
30 Hg 0.701 0.299 0.299

2.
This record from the Alexandria database describes a relaxed Ba3Sb2O crystal. The functional is PBE-GGA.

Space group = Cmcm, No. 63
Formation energy (no corrections) = -1.436 eV per atom

a = 7.578 Å, b = 7.448 Å, c = 7.578 Å
α = 90.00°, β = 98.86°, γ = 90.00°
Sites, in units of the cell vectors:
1 Ba 0.655 0.750 0.655
2 Ba 0.345 0.250 0.345
3 Ba 0.844 0.500 0.156
4 Ba 0.844 0.000 0.156
5 Ba 0.156 0.500 0.844
6 Ba 0.156 0.000 0.844
7 Sb 0.558 0.250 0.810
8 Sb 0.442 0.750 0.190
9 Sb 0.190 0.750 0.442
10 Sb 0.810 0.250 0.558
11 O 0.081 0.250 0.081
12 O 0.919 0.750 0.919

3.
This record from the Alexandria database describes a relaxed CaLa2Co crystal. The functional is PBE-GGA.

Space group = F-43m, No. 216
Formation enthalpy at 0 K = 0.404 eV/atom

a = 5.331 Å, b = 5.331 Å, c = 5.331 Å
α = 60.00°, β = 60.00°, γ = 60.00°
Each line ends with the local moment (μB).
Sites, in units of the cell vectors:
1 Ca 0.500 0.500 0.500  0.04
2 Co 0.750 0.750 0.750  -0.96
3 La 0.000 0.000 0.000  0.13
4 La 0.250 0.250 0.250  0.11

Number 1: uncorrected energy -2.349 eV/atom, magnetization 0.000 μB/f.u.. Number 2: uncorrected energy -4.598 eV/atom, magnetization 0.000 μB/f.u.. Number 3: uncorrected energy -4.336 eV/atom, magnetization 0.415 μB/f.u..